# LiTh2Al3Au4 (GGA-PBE, optimized geometry)
data_LiTh2Al3Au4
_cell_length_a 4.469
_cell_length_b 4.469
_cell_length_c 10.186
_cell_angle_alpha 90.00
_cell_angle_beta 90.00
_cell_angle_gamma 90.00
_space_group_name_H-M_alt 'P -4 m 2'
_space_group_IT_number 115
_space_group_name_Hall 'P -4 -2'
loop_
_atom_site_label
_atom_site_type_symbol
_atom_site_fract_x
_atom_site_fract_y
_atom_site_fract_z
_atom_site_occupancy
Li1 Li 0.000 0.000 0.000 1
Th1 Th 0.000 0.500 0.747 1
Al1 Al 0.000 0.500 0.366 1
Al2 Al 0.500 0.500 0.000 1
Au1 Au 0.000 0.000 0.500 1
Au2 Au 0.000 0.500 0.123 1
Au3 Au 0.500 0.500 0.500 1
# Spin magnetization (μB per cell): 0.00
# Energy relative to the elements (meV/atom): -636
# E (eV/atom): -4.74